# Mo2RhW GGA-PBEsol optimized geometry
# M_tot   0.000 μB/cell
# Formation enthalpy at 0 K   0.145 eV per atom
# E_tot   -11.225 eV/atom
data_Mo2RhW
_space_group_name_H-M_alt 'P 4/m m m'
_space_group_IT_number 123
_space_group_name_Hall '-P 4 2'
_cell_length_a 3.153
_cell_length_b 3.153
_cell_length_c 6.068
_cell_angle_alpha 90.00
_cell_angle_beta 90.00
_cell_angle_gamma 90.00
loop_
_atom_site_label
_atom_site_type_symbol
_atom_site_fract_x
_atom_site_fract_y
_atom_site_fract_z
_atom_site_occupancy
Mo1 Mo 0.000 0.000 0.244 1
Rh1 Rh 0.500 0.500 0.500 1
W1 W 0.500 0.500 0.000 1

# Bi2O3 GGA-PBEsol optimized geometry
# Uncorrected formation energy   -1.14 eV/atom
# M_tot   0.000 μB/cell
# E_tot   -5.999 eV/atom
data_Bi2O3
_space_group_name_H-M_alt 'P 1'
_space_group_IT_number 1
_space_group_name_Hall 'P 1'
_cell_length_a 3.794
_cell_length_b 3.884
_cell_length_c 19.057
_cell_angle_alpha 84.90
_cell_angle_beta 84.34
_cell_angle_gamma 61.47
loop_
_atom_site_label
_atom_site_type_symbol
_atom_site_fract_x
_atom_site_fract_y
_atom_site_fract_z
_atom_site_occupancy
Bi1 Bi 0.000 0.000 0.000 1
Bi2 Bi 0.034 0.240 0.644 1
Bi3 Bi 0.203 0.237 0.326 1
Bi4 Bi 0.591 0.641 0.155 1
Bi5 Bi 0.678 0.791 0.820 1
Bi6 Bi 0.800 0.877 0.488 1
O1 O 0.013 0.134 0.812 1
O2 O 0.155 0.210 0.458 1
O3 O 0.259 0.401 0.051 1
O4 O 0.476 0.459 0.577 1
O5 O 0.550 0.600 0.270 1
O6 O 0.625 0.782 0.939 1
O7 O 0.738 0.812 0.692 1
O8 O 0.849 0.891 0.374 1
O9 O 0.914 0.989 0.165 1

# KMn2Ag GGA-PBEsol optimized geometry
# M_tot   15.301 μB/cell
# Formation enthalpy at 0 K   0.868 eV per atom
# E_tot   -5.124 eV/atom
data_KMn2Ag
_space_group_name_H-M_alt 'C 1 m 1'
_space_group_IT_number 8
_space_group_name_Hall 'C -2y'
_cell_length_a 8.924
_cell_length_b 2.849
_cell_length_c 7.041
_cell_angle_alpha 90.00
_cell_angle_beta 95.49
_cell_angle_gamma 90.00
loop_
_atom_site_label
_atom_site_type_symbol
_atom_site_fract_x
_atom_site_fract_y
_atom_site_fract_z
_atom_site_occupancy
K1 K 0.000 0.000 0.000 1
Mn1 Mn 0.001 0.500 0.505 1
Mn2 Mn 0.228 0.000 0.651 1
Ag1 Ag 0.263 0.500 0.333 1

# Li2ScHg GGA-PBEsol optimized geometry
# M_tot   0.040 μB/cell
# Formation enthalpy at 0 K   -0.242 eV per atom
# E_tot   -3.018 eV/atom
data_Li2ScHg
_space_group_name_H-M_alt 'F -4 3 m'
_space_group_IT_number 216
_space_group_name_Hall 'F -4 2 3'
_cell_length_a 6.648
_cell_length_b 6.648
_cell_length_c 6.648
_cell_angle_alpha 90.00
_cell_angle_beta 90.00
_cell_angle_gamma 90.00
loop_
_atom_site_label
_atom_site_type_symbol
_atom_site_fract_x
_atom_site_fract_y
_atom_site_fract_z
_atom_site_occupancy
Li1 Li 0.000 0.000 0.000 1
Li2 Li 0.250 0.250 0.250 1
Sc1 Sc 0.000 0.000 0.500 1
Hg1 Hg 0.250 0.250 0.750 1

# Ba4P GGA-PBEsol optimized geometry
# M_tot   0.000 μB/cell
# Formation enthalpy at 0 K   -0.440 eV per atom
# E_tot   -3.318 eV/atom
data_Ba4P
_space_group_name_H-M_alt 'I 4/m'
_space_group_IT_number 87
_space_group_name_Hall '-I 4'
_cell_length_a 10.710
_cell_length_b 10.710
_cell_length_c 4.069
_cell_angle_alpha 90.00
_cell_angle_beta 90.00
_cell_angle_gamma 90.00
loop_
_atom_site_label
_atom_site_type_symbol
_atom_site_fract_x
_atom_site_fract_y
_atom_site_fract_z
_atom_site_occupancy
Ba1 Ba 0.051 0.768 0.000 1
P1 P 0.000 0.000 0.500 1

# P2C GGA-PBEsol optimized geometry
# M_tot   0.000 μB/cell
# Formation enthalpy at 0 K   1.136 eV per atom
# E_tot   -5.940 eV/atom
data_P2C
_space_group_name_H-M_alt 'P 63/m m c'
_space_group_IT_number 194
_space_group_name_Hall '-P 6c 2c'
_cell_length_a 2.7782
_cell_length_b 2.7782
_cell_length_c 10.6872
_cell_angle_alpha 90.00
_cell_angle_beta 90.00
_cell_angle_gamma 120.00
loop_
_atom_site_label
_atom_site_type_symbol
_atom_site_fract_x
_atom_site_fract_y
_atom_site_fract_z
_atom_site_occupancy
P1 P 0.0000 0.0000 0.1308 1
C1 C 0.3333 0.6667 0.2500 1